1.
First-principles (PBE) data for an optimized crystal structure of Dy4PtAu3, as listed in OQMD via LeMat-Bulk.

- Formation enthalpy at 0 K: -0.99 eV per atom

Cell: 3.743 4.636 10.775 Å, 90.00 90.00 90.00°
Fractional positions:
Au (0.500, 0.000, 0.412)
Au (0.500, 0.500, 0.589)
Au (0.000, 0.000, 0.912)
Dy (0.500, 0.000, 0.137)
Dy (0.000, 0.500, 0.353)
Dy (0.000, 0.000, 0.640)
Dy (0.500, 0.500, 0.870)
Pt (0.000, 0.500, 0.088)

2.
First-principles (PBE) data for an optimized crystal structure of PmTaN2O, as listed in OQMD via LeMat-Bulk.

- Electronic total energy: -9.572 eV/atom

Cell: 5.645 5.654 9.755 Å, 73.66 73.59 60.64°
Fractional positions:
N (0.028, 0.224, 0.124)
N (0.146, 0.656, 0.154)
N (0.364, 0.846, 0.344)
N (0.913, 0.392, 0.405)
N (0.107, 0.581, 0.603)
N (0.531, 0.714, 0.628)
N (0.661, 0.142, 0.647)
N (0.395, 0.902, 0.900)
O (0.593, 0.103, 0.086)
O (0.493, 0.277, 0.361)
O (0.838, 0.335, 0.847)
O (0.965, 0.762, 0.882)
Pm (0.606, 0.649, 0.126)
Pm (0.890, 0.862, 0.381)
Pm (0.106, 0.144, 0.629)
Pm (0.389, 0.365, 0.872)
Ta (0.016, 0.997, 0.009)
Ta (0.228, 0.259, 0.255)
Ta (0.492, 0.521, 0.503)
Ta (0.740, 0.769, 0.742)

3.
First-principles (PBE) data for an optimized crystal structure of GdInIr, as listed in OQMD via LeMat-Bulk.

- Distance to the lowest polymorph of the same formula: 0.0 meV/atom

Cell: 7.105 4.314 8.561 Å, 90.00 90.00 90.00°
Fractional positions:
Gd (0.038, 0.750, 0.176)
Gd (0.538, 0.750, 0.324)
Gd (0.462, 0.250, 0.676)
Gd (0.962, 0.250, 0.824)
In (0.358, 0.250, 0.061)
In (0.858, 0.250, 0.439)
In (0.142, 0.750, 0.561)
In (0.642, 0.750, 0.939)
Ir (0.752, 0.250, 0.128)
Ir (0.252, 0.250, 0.372)
Ir (0.748, 0.750, 0.628)
Ir (0.248, 0.750, 0.872)

4.
First-principles (PBE) data for an optimized crystal structure of GdErCd, as listed in OQMD via LeMat-Bulk.

- Formation enthalpy at 0 K: 0.50 eV per atom

Cell: 5.072 5.072 5.072 Å, 60.00 60.00 60.00°
Fractional positions:
Cd (0.250, 0.250, 0.250)
Er (0.000, 0.000, 0.000)
Gd (0.750, 0.750, 0.750)

5.
First-principles (PBE) data for an optimized crystal structure of KNdCoSe3, as listed in OQMD via LeMat-Bulk.

- Distance to the lowest polymorph of the same formula: 18.0 meV/atom

Cell: 11.653 4.272 12.550 Å, 90.00 90.00 90.00°
Last column: magnetic moment on the atom in μB.
Fractional positions:
Co (0.752, 0.250, 0.205)  2.11
Co (0.252, 0.250, 0.295)  2.10
Co (0.748, 0.750, 0.705)  2.10
Co (0.248, 0.750, 0.795)  2.11
K (0.327, 0.250, 0.006)  0.01
K (0.827, 0.250, 0.494)  0.01
K (0.173, 0.750, 0.506)  0.01
K (0.673, 0.750, 0.994)  0.01
Nd (0.020, 0.750, 0.174)  0.02
Nd (0.520, 0.750, 0.326)  0.02
Nd (0.480, 0.250, 0.674)  0.02
Nd (0.980, 0.250, 0.826)  0.02
Se (0.887, 0.250, 0.059)  0.10
Se (0.553, 0.250, 0.164)  0.11
Se (0.283, 0.750, 0.206)  0.17
Se (0.783, 0.750, 0.294)  0.17
Se (0.053, 0.250, 0.336)  0.11
Se (0.387, 0.250, 0.441)  0.10
Se (0.613, 0.750, 0.559)  0.10
Se (0.947, 0.750, 0.664)  0.11
Se (0.217, 0.250, 0.706)  0.17
Se (0.717, 0.250, 0.794)  0.17
Se (0.447, 0.750, 0.836)  0.11
Se (0.113, 0.750, 0.941)  0.10

6.
First-principles (PBE) data for an optimized crystal structure of Nd2TlInPd4, as listed in OQMD via LeMat-Bulk.

- Electronic total energy: -5.127 eV/atom

Cell: 4.683 4.683 9.163 Å, 90.00 90.00 120.00°
Fractional positions:
In (0.000, 0.000, 0.000)
Nd (0.667, 0.333, 0.250)
Nd (0.333, 0.667, 0.750)
Pd (0.333, 0.667, 0.083)
Pd (0.333, 0.667, 0.411)
Pd (0.667, 0.333, 0.589)
Pd (0.667, 0.333, 0.917)
Tl (0.000, 0.000, 0.500)

7.
First-principles (PBE) data for an optimized crystal structure of ScCd2Si, as listed in OQMD via LeMat-Bulk.

- Electronic total energy: -3.388 eV/atom

Cell: 4.816 4.816 4.816 Å, 60.00 60.00 60.00°
Fractional positions:
Cd (0.000, 0.000, 0.000)
Cd (0.750, 0.750, 0.750)
Sc (0.250, 0.250, 0.250)
Si (0.500, 0.500, 0.500)

8.
First-principles (PBE) data for an optimized crystal structure of CsEr2CuSeS3, as listed in OQMD via LeMat-Bulk.

- Distance to the lowest polymorph of the same formula: 0.0 meV/atom

Cell: 7.378 7.378 13.817 Å, 90.00 90.00 148.24°
Fractional positions:
Cs (0.395, 0.605, 0.250)
Cs (0.605, 0.395, 0.750)
Cu (0.667, 0.333, 0.250)
Cu (0.333, 0.667, 0.750)
Er (0.139, 0.861, 0.064)
Er (0.139, 0.861, 0.436)
Er (0.861, 0.139, 0.564)
Er (0.861, 0.139, 0.936)
S (0.756, 0.244, 0.105)
S (0.084, 0.916, 0.250)
S (0.756, 0.244, 0.395)
S (0.244, 0.756, 0.605)
S (0.916, 0.084, 0.750)
S (0.244, 0.756, 0.895)
Se (0.500, 0.500, 0.000)
Se (0.500, 0.500, 0.500)